Record 1
A relaxed NdDy2Pt crystal. Source: the Alexandria database, functional PBE.

Values from the calculation:
Its energy relative to the lowest polymorph listed for this composition is 0.11 eV/f.u. The density of states at the Fermi level is 1.171 states/eV/atom. The formation energy from the elements is -2.632 eV/f.u. Its space group is P2_1/m (11).

abc: 3.833 9.289 6.537
angles: 90.00 106.98 90.00
Element x y z (fractional)
Nd: 0.063 0.250 0.127
Nd: 0.937 0.750 0.873
Dy: 0.361 0.062 0.722
Dy: 0.361 0.438 0.722
Dy: 0.639 0.562 0.278
Dy: 0.639 0.938 0.278
Pt: 0.237 0.750 0.474
Pt: 0.763 0.250 0.526

***

Record 2
A relaxed NdDy2Pt crystal. Source: the Alexandria database, functional PBE.

Values from the calculation:
Its energy relative to the lowest polymorph listed for this composition is 0.32 eV/f.u. The density of states at the Fermi level is 0.959 states/eV/atom. The formation energy from the elements is -2.421 eV/f.u. Its space group is P4/mmm (123).

abc: 3.566 3.566 8.697
angles: 90.00 90.00 90.00
Element x y z (fractional)
Nd: 0.000 0.000 0.000
Dy: 0.500 0.500 0.311
Dy: 0.500 0.500 0.689
Pt: 0.000 0.000 0.500

***

Record 3
A relaxed Nd3DyPt4 crystal. Source: the Alexandria database, functional PBE.

Values from the calculation:
The density of states at the Fermi level is 0.704 states/eV/atom. The formation energy from the elements is -7.862 eV/f.u. Its space group is Immm (71).

abc: 8.678 8.678 8.678
angles: 153.09 135.12 53.11
Element x y z (fractional)
Nd: 0.000 0.000 0.000
Nd: 0.301 0.801 0.500
Nd: 0.699 0.199 0.500
Dy: 0.500 0.500 0.000
Pt: 0.079 0.373 0.706
Pt: 0.333 0.627 0.706
Pt: 0.667 0.373 0.294
Pt: 0.921 0.627 0.294

***

Record 4
A relaxed NdDyPt crystal. Source: the Alexandria database, functional PBE.

Values from the calculation:
Its energy relative to the lowest polymorph listed for this composition is 0.00 eV/f.u. The density of states at the Fermi level is 0.966 states/eV/atom. The formation energy from the elements is -2.545 eV/f.u. Its space group is Amm2 (38).

abc: 4.799 7.353 7.353
angles: 112.55 90.00 90.00
Element x y z (fractional)
Nd: 0.000 0.000 0.000
Nd: 0.000 0.378 0.787
Nd: 0.000 0.787 0.378
Dy: 0.500 0.147 0.421
Dy: 0.500 0.421 0.147
Dy: 0.500 0.680 0.680
Pt: 0.000 0.373 0.373
Pt: 0.500 0.098 0.777
Pt: 0.500 0.777 0.098

***

Record 5
A relaxed NdDyPt2 crystal. Source: the Alexandria database, functional PBE.

Values from the calculation:
Its energy relative to the lowest polymorph listed for this composition is 0.45 eV/f.u. The density of states at the Fermi level is 0.538 states/eV/atom. The formation energy from the elements is -4.377 eV/f.u. Its space group is R-3m (166).

abc: 7.157 7.157 7.157
angles: 33.57 33.57 33.57
Element x y z (fractional)
Nd: 0.000 0.000 0.000
Dy: 0.500 0.500 0.500
Pt: 0.246 0.246 0.246
Pt: 0.754 0.754 0.754

***

Record 6
A relaxed Nd4Dy3Pt4 crystal. Source: the Alexandria database, functional PBE.

Values from the calculation:
The density of states at the Fermi level is 0.869 states/eV/atom. The formation energy from the elements is -8.767 eV/f.u. Its space group is Immm (71).

abc: 9.663 9.663 9.663
angles: 156.96 124.61 60.78
Element x y z (fractional)
Nd: 0.022 0.836 0.186
Nd: 0.350 0.164 0.186
Nd: 0.650 0.836 0.814
Nd: 0.978 0.164 0.814
Dy: 0.000 0.500 0.500
Dy: 0.402 0.402 0.000
Dy: 0.598 0.598 0.000
Pt: 0.261 0.761 0.500
Pt: 0.309 0.000 0.309
Pt: 0.691 0.000 0.691
Pt: 0.739 0.239 0.500

***

Record 7
A relaxed Nd3DyPt2 crystal. Source: the Alexandria database, functional PBE.

Values from the calculation:
The density of states at the Fermi level is 1.064 states/eV/atom. The formation energy from the elements is -4.434 eV/f.u. Its space group is Immm (71).

abc: 8.175 8.175 8.175
angles: 146.68 146.26 48.15
Element x y z (fractional)
Nd: 0.000 0.000 0.000
Nd: 0.187 0.687 0.500
Nd: 0.813 0.313 0.500
Dy: 0.500 0.500 0.000
Pt: 0.374 0.874 0.500
Pt: 0.626 0.126 0.500

***

Record 8
A relaxed NdDyPt crystal. Source: the Alexandria database, functional PBE.

Values from the calculation:
Its energy relative to the lowest polymorph listed for this composition is 0.32 eV/f.u. The density of states at the Fermi level is 1.004 states/eV/atom. The formation energy from the elements is -2.225 eV/f.u. Its space group is P2_1/c (14).

abc: 7.062 5.893 10.738
angles: 90.00 127.42 90.00
Element x y z (fractional)
Nd: 0.191 0.146 0.380
Nd: 0.191 0.354 0.880
Nd: 0.809 0.646 0.120
Nd: 0.809 0.854 0.620
Dy: 0.328 0.625 0.632
Dy: 0.328 0.875 0.132
Dy: 0.672 0.125 0.868
Dy: 0.672 0.375 0.368
Pt: 0.326 0.658 0.364
Pt: 0.326 0.842 0.864
Pt: 0.674 0.158 0.136
Pt: 0.674 0.342 0.636

***

Record 9
A relaxed NdDy2Pt crystal. Source: the Alexandria database, functional PBE.

Values from the calculation:
Its energy relative to the lowest polymorph listed for this composition is 0.56 eV/f.u. The density of states at the Fermi level is 0.988 states/eV/atom. The formation energy from the elements is -2.182 eV/f.u. Its space group is R3m (160).

abc: 9.325 9.325 9.325
angles: 24.58 24.58 24.58
Element x y z (fractional)
Nd: 0.000 0.000 0.000
Dy: 0.557 0.557 0.557
Dy: 0.772 0.772 0.772
Pt: 0.164 0.164 0.164

***

Record 10
A relaxed Nd3DyPt3 crystal. Source: the Alexandria database, functional PBE.

Values from the calculation:
The density of states at the Fermi level is 0.786 states/eV/atom. The formation energy from the elements is -6.474 eV/f.u. Its space group is C2/m (12).

abc: 7.145 7.145 7.282
angles: 90.66 90.66 97.39
Element x y z (fractional)
Nd: 0.176 0.824 0.000
Nd: 0.251 0.749 0.500
Nd: 0.335 0.335 0.122
Nd: 0.665 0.665 0.878
Nd: 0.749 0.251 0.500
Nd: 0.824 0.176 0.000
Dy: 0.250 0.250 0.620
Dy: 0.750 0.750 0.380
Pt: 0.029 0.492 0.785
Pt: 0.061 0.061 0.310
Pt: 0.492 0.029 0.785
Pt: 0.508 0.971 0.215
Pt: 0.939 0.939 0.690
Pt: 0.971 0.508 0.215

***

Record 11
A relaxed NdDy2Pt crystal. Source: the Alexandria database, functional PBE.

Values from the calculation:
Its energy relative to the lowest polymorph listed for this composition is 0.00 eV/f.u. The density of states at the Fermi level is 1.032 states/eV/atom. The formation energy from the elements is -2.744 eV/f.u. Its space group is Pnma (62).

abc: 7.155 9.655 6.576
angles: 90.00 90.00 90.00
Element x y z (fractional)
Nd: 0.023 0.250 0.134
Nd: 0.477 0.750 0.634
Nd: 0.523 0.250 0.366
Nd: 0.977 0.750 0.866
Dy: 0.178 0.062 0.673
Dy: 0.178 0.438 0.673
Dy: 0.322 0.562 0.173
Dy: 0.322 0.938 0.173
Dy: 0.678 0.062 0.827
Dy: 0.678 0.438 0.827
Dy: 0.822 0.562 0.327
Dy: 0.822 0.938 0.327
Pt: 0.115 0.750 0.430
Pt: 0.385 0.250 0.930
Pt: 0.615 0.750 0.070
Pt: 0.885 0.250 0.570

***

Record 12
A relaxed NdDy2Pt crystal. Source: the Alexandria database, functional PBE.

Values from the calculation:
Its energy relative to the lowest polymorph listed for this composition is 0.68 eV/f.u. The density of states at the Fermi level is 1.263 states/eV/atom. The formation energy from the elements is -2.067 eV/f.u. Its space group is R-3m (166).

abc: 9.761 9.761 9.761
angles: 22.79 22.79 22.79
Element x y z (fractional)
Nd: 0.000 0.000 0.000
Dy: 0.227 0.227 0.227
Dy: 0.773 0.773 0.773
Pt: 0.500 0.500 0.500